No. 1
DFT (SCAN) results for Mg2TaBr at its PBEsol-relaxed geometry.

Cell and atoms, written as POSCAR:
```
Mg2TaBr
1.0
-3.7188 -2.6486 2.0135
0.6372 -2.2402 4.4130
-2.3834 1.7136 4.0351
Mg Ta Br
2 1 1
Direct
0.7500 0.7500 0.7500
0.2500 0.2500 0.2500
0.5000 0.5000 0.5000
0.0000 0.0000 0.0000
```

Calculated values
As for the theoretical density: 5.8 g/cm³. The energy above the most stable polymorph in this dataset is 1.68 eV/f.u.

=====

No. 2
DFT (SCAN) results for MgTa2Br at its PBEsol-relaxed geometry.

Cell and atoms, written as POSCAR:
```
MgTa2Br
1.0
-2.8493 0.1324 -0.9616
0.8961 -0.7872 -2.7637
-0.9848 -7.6618 1.8630
Ta Mg Br
2 1 1
Direct
0.0000 0.0000 0.2297
0.0000 0.0000 0.7703
0.5000 0.5000 0.5000
0.5000 0.5000 0.0000
```

Calculated values
As for the theoretical density: 10.8 g/cm³. The energy above the most stable polymorph in this dataset is 0.00 eV/f.u.

=====

No. 3
DFT (SCAN) results for Mg2TaBr at its PBEsol-relaxed geometry.

Cell and atoms, written as POSCAR:
```
Mg2TaBr
1.0
-0.8410 -2.7346 -1.1281
4.5056 -0.6442 -1.7972
1.4635 -2.3045 4.4952
Mg Br Ta
2 1 1
Direct
0.5000 0.5000 0.0000
0.0000 0.0000 0.0000
0.0000 0.5000 0.5000
0.5000 0.0000 0.5000
```

Calculated values
As for the theoretical density: 6.5 g/cm³. The energy above the most stable polymorph in this dataset is 0.00 eV/f.u.

=====

No. 4
DFT (SCAN) results for Mg2TaBr at its PBEsol-relaxed geometry.

Cell and atoms, written as POSCAR:
```
Mg2TaBr
1.0
4.8372 0.0000 0.0000
2.4186 4.1891 0.0000
2.4186 1.3964 3.9495
Mg Br Ta
2 1 1
Direct
0.0000 0.0000 0.0000
0.2500 0.2500 0.2500
0.5000 0.5000 0.5000
0.7500 0.7500 0.7500
```

Calculated values
As for the theoretical density: 6.4 g/cm³. The energy above the most stable polymorph in this dataset is 1.23 eV/f.u.

=====

No. 5
DFT (SCAN) results for MgTa2Br at its PBEsol-relaxed geometry.

Cell and atoms, written as POSCAR:
```
MgTa2Br
1.0
3.9049 0.0000 0.0000
0.0000 3.9049 0.0000
-1.9525 -1.9525 5.0347
Mg Ta Br
1 2 1
Direct
0.0000 0.0000 0.0000
0.7500 0.2500 0.5000
0.2500 0.7500 0.5000
0.5000 0.5000 0.0000
```

Calculated values
As for the theoretical density: 10.1 g/cm³. The energy above the most stable polymorph in this dataset is 0.42 eV/f.u.

=====

No. 6
DFT (SCAN) results for MgTa3Br at its PBEsol-relaxed geometry.

Cell and atoms, written as POSCAR:
```
MgTa3Br
1.0
-0.4231 3.6509 -3.0555
0.3980 -3.0297 -3.6752
-4.7442 -0.5797 -0.0358
Br Ta Mg
1 3 1
Direct
0.5000 0.5000 0.5000
0.0000 0.5000 0.0000
0.5000 0.0000 0.0000
0.0000 0.0000 0.5000
0.0000 0.0000 0.0000
```

Calculated values
As for the theoretical density: 9.8 g/cm³. Its electronic total energy is -42.5035 eV/atom.

=====

No. 7
DFT (SCAN) results for MgTcBr2 at its PBEsol-relaxed geometry.

Cell and atoms, written as POSCAR:
```
MgTcBr2
1.0
-2.6418 -1.9930 -0.2778
-0.1473 -0.3118 3.6376
-4.3901 6.0271 -1.4918
Tc Mg Br
1 1 2
Direct
0.5000 0.6580 0.6913
0.0000 0.0798 0.5344
0.5000 0.4838 0.3416
0.0000 0.7785 0.9327
```

Calculated values
As for the theoretical density: 5.2 g/cm³. The energy above the most stable polymorph in this dataset is 0.00 eV/f.u.

=====

No. 8
DFT (SCAN) results for MgTcBr2 at its PBEsol-relaxed geometry.

Cell and atoms, written as POSCAR:
```
MgTcBr2
1.0
3.2368 0.0000 0.0000
0.0000 4.6340 0.0000
0.0000 0.0000 4.6340
Br Mg Tc
2 1 1
Direct
0.0000 0.5000 0.0000
0.0000 0.0000 0.5000
0.5000 0.5000 0.5000
0.5000 0.0000 0.0000
```

Calculated values
As for the theoretical density: 6.7 g/cm³. The energy above the most stable polymorph in this dataset is 2.76 eV/f.u.

=====

No. 9
DFT (SCAN) results for Mg2TeBr at its PBEsol-relaxed geometry.

Cell and atoms, written as POSCAR:
```
Mg2TeBr
1.0
3.5920 0.0000 0.0000
1.7960 3.1108 0.0000
1.7960 1.0369 9.7480
Te Mg Br
1 2 1
Direct
0.4840 0.4840 0.5480
0.9952 0.9952 0.0143
0.7470 0.7470 0.7589
0.2737 0.2737 0.1789
```

Calculated values
As for the theoretical density: 3.9 g/cm³. The energy above the most stable polymorph in this dataset is 0.68 eV/f.u.

=====

No. 10
DFT (SCAN) results for MgTeBr2 at its PBEsol-relaxed geometry.

Cell and atoms, written as POSCAR:
```
MgTeBr2
1.0
3.2757 0.0000 0.0000
0.0000 3.2757 0.0000
0.0000 0.0000 10.6135
Br Mg Te
2 1 1
Direct
0.0000 0.0000 0.1535
0.0000 0.0000 0.8465
0.5000 0.5000 0.0000
0.5000 0.5000 0.5000
```

Calculated values
As for the theoretical density: 4.5 g/cm³. The energy above the most stable polymorph in this dataset is 0.00 eV/f.u.

=====

No. 11
DFT (SCAN) results for Mg2TeBr at its PBEsol-relaxed geometry.

Cell and atoms, written as POSCAR:
```
Mg2TeBr
1.0
4.1970 0.0000 0.0000
0.0000 4.1990 0.0000
0.0000 0.0000 5.9037
Mg Te Br
2 1 1
Direct
0.5000 0.6246 0.5000
0.0000 0.1250 0.0000
0.5000 0.6249 0.0000
0.0000 0.1255 0.5000
```

Calculated values
As for the theoretical density: 4.1 g/cm³. The energy above the most stable polymorph in this dataset is 0.00 eV/f.u.

=====

No. 12
DFT (SCAN) results for MgTeBr2 at its PBEsol-relaxed geometry.

Cell and atoms, written as POSCAR:
```
MgTeBr2
1.0
3.6233 0.0000 0.0000
0.0000 4.6374 0.0000
0.0000 0.0000 6.0548
Br Mg Te
2 1 1
Direct
0.5000 0.0000 0.5000
0.0000 0.0000 0.0000
0.5000 0.5000 0.0000
0.0000 0.5000 0.5000
```

Calculated values
As for the theoretical density: 5.1 g/cm³. The energy above the most stable polymorph in this dataset is 1.43 eV/f.u.

=====

No. 13
DFT (SCAN) results for Mg2TeBr at its PBEsol-relaxed geometry.

Cell and atoms, written as POSCAR:
```
Mg2TeBr
1.0
-0.5814 1.9831 -3.3521
3.1977 -2.2145 -3.8212
-4.4359 -2.0631 -2.4078
Te Mg Br
1 2 1
Direct
0.5000 0.0000 0.0000
0.0000 0.5000 0.0000
0.0000 0.0000 0.5000
0.5000 0.5000 0.5000
```

Calculated values
As for the theoretical density: 4.0 g/cm³. The energy above the most stable polymorph in this dataset is 0.68 eV/f.u.

=====

No. 14
DFT (SCAN) results for MgTl2Br at its PBEsol-relaxed geometry.

Cell and atoms, written as POSCAR:
```
MgTl2Br
1.0
3.5136 0.0000 0.0000
0.0000 5.4032 0.0000
0.0000 0.0000 5.6371
Br Tl Mg
1 2 1
Direct
0.5000 0.5000 0.0000
0.5000 0.0000 0.5000
0.0000 0.0000 0.0000
0.0000 0.5000 0.5000
```

Calculated values
As for the theoretical density: 8.0 g/cm³. Its electronic total energy is -42.5814 eV/atom.

=====

No. 15
DFT (SCAN) results for MgTl3Br at its PBEsol-relaxed geometry.

Cell and atoms, written as POSCAR:
```
MgTl3Br
1.0
5.5059 0.0000 0.0000
0.0000 5.5059 0.0000
0.0000 0.0000 5.5059
Tl Mg Br
3 1 1
Direct
0.0000 0.0000 0.5000
0.5000 0.0000 0.0000
0.0000 0.5000 0.0000
0.0000 0.0000 0.0000
0.5000 0.5000 0.5000
```

Calculated values
As for the theoretical density: 7.1 g/cm³. Its electronic total energy is -48.3859 eV/atom.

=====

No. 16
DFT (SCAN) results for Mg2WBr at its PBEsol-relaxed geometry.

Cell and atoms, written as POSCAR:
```
Mg2WBr
1.0
-0.3697 2.8698 0.9128
-4.4069 -1.0676 1.5719
4.6792 -2.3384 4.2042
Mg Br W
2 1 1
Direct
0.9747 0.9747 0.9494
0.8243 0.3243 0.6487
0.1848 0.6848 0.3695
0.5162 0.5162 0.0324
```

Calculated values
As for the theoretical density: 5.9 g/cm³. The energy above the most stable polymorph in this dataset is 0.00 eV/f.u.

=====

No. 17
DFT (SCAN) results for Mg2WBr at its PBEsol-relaxed geometry.

Cell and atoms, written as POSCAR:
```
Mg2WBr
1.0
4.0410 0.0000 0.0000
0.0000 4.0410 0.0000
-2.0205 -2.0205 4.5866
Mg W Br
2 1 1
Direct
0.0000 0.0000 0.0000
0.7500 0.2500 0.5000
0.5000 0.5000 0.0000
0.2500 0.7500 0.5000
```

Calculated values
As for the theoretical density: 6.9 g/cm³. The energy above the most stable polymorph in this dataset is 1.81 eV/f.u.

=====

No. 18
DFT (SCAN) results for Y2MgBr at its PBEsol-relaxed geometry.

Cell and atoms, written as POSCAR:
```
Y2MgBr
1.0
-0.4432 2.2304 -2.5454
-3.2282 0.4921 0.9932
2.5569 6.3834 5.1481
Y Mg Br
2 1 1
Direct
0.0000 0.0000 0.7634
0.0000 0.0000 0.2366
0.5000 0.5000 0.5000
0.5000 0.5000 0.0000
```

Calculated values
As for the theoretical density: 4.7 g/cm³. The energy above the most stable polymorph in this dataset is 0.00 eV/f.u.

=====

No. 19
DFT (SCAN) results for YMgBr2 at its PBEsol-relaxed geometry.

Cell and atoms, written as POSCAR:
```
YMgBr2
1.0
-1.7022 -1.3295 -3.4518
3.6346 -1.3071 -1.2889
-1.9658 -3.9470 4.8914
Br Y Mg
2 1 1
Direct
0.7500 0.2500 0.5000
0.0000 0.0000 0.0000
0.2500 0.7500 0.5000
0.5000 0.5000 0.0000
```

Calculated values
As for the theoretical density: 4.6 g/cm³. The energy above the most stable polymorph in this dataset is 0.61 eV/f.u.

=====

No. 20
DFT (SCAN) results for YMgBr at its PBEsol-relaxed geometry.

Cell and atoms, written as POSCAR:
```
YMgBr
1.0
-1.4239 -3.2354 1.3685
2.3678 -2.5418 -3.5456
2.2317 0.8577 4.3500
Y Br Mg
1 1 1
Direct
0.5000 0.6667 0.3333
0.5000 0.0000 0.0000
0.0000 0.3333 0.6667
```

Calculated values
As for the theoretical density: 4.0 g/cm³. Its electronic total energy is -17.8703 eV/atom.

=====

No. 21
DFT (SCAN) results for YMgBr2 at its PBEsol-relaxed geometry.

Cell and atoms, written as POSCAR:
```
YMgBr2
1.0
-1.7450 3.0111 -1.0592
-4.0791 -2.4137 -0.1414
-1.0304 1.3945 5.9214
Y Br Mg
1 2 1
Direct
0.0000 0.5000 0.0000
0.7796 0.0000 0.7591
0.2204 0.0000 0.2409
0.5000 0.5000 0.5000
```

Calculated values
As for the theoretical density: 4.3 g/cm³. The energy above the most stable polymorph in this dataset is 0.00 eV/f.u.

=====

No. 22
DFT (SCAN) results for Y2MgBr at its PBEsol-relaxed geometry.

Cell and atoms, written as POSCAR:
```
Y2MgBr
1.0
3.4927 0.0000 0.0000
0.0000 5.9332 0.0000
-1.7463 -2.9666 5.3432
Mg Y Br
1 2 1
Direct
0.0000 0.5000 0.0000
0.7801 0.7801 0.5602
0.2199 0.2199 0.4398
0.5000 0.0000 0.0000
```

Calculated values
As for the theoretical density: 4.2 g/cm³. The energy above the most stable polymorph in this dataset is 0.51 eV/f.u.

=====

No. 23
DFT (SCAN) results for MgZn2Br at its PBEsol-relaxed geometry.

Cell and atoms, written as POSCAR:
```
MgZn2Br
1.0
3.3015 0.0000 0.0000
1.6507 5.3218 0.1694
1.6507 2.2121 4.8432
Zn Mg Br
2 1 1
Direct
0.7233 0.7767 0.7767
0.0029 0.9971 0.9971
0.2534 0.2466 0.2466
0.5204 0.4796 0.4796
```

Calculated values
As for the theoretical density: 4.7 g/cm³. The energy above the most stable polymorph in this dataset is 0.00 eV/f.u.

=====

No. 24
DFT (SCAN) results for Mg2ZnBr at its PBEsol-relaxed geometry.

Cell and atoms, written as POSCAR:
```
Mg2ZnBr
1.0
-0.7507 -0.6448 -3.1303
2.6416 -2.1155 -0.1977
-4.5058 -5.8628 2.2882
Mg Br Zn
2 1 1
Direct
0.0000 0.5012 0.2875
0.0000 0.4988 0.7125
0.5000 0.5000 0.0000
0.5000 0.0000 0.5000
```

Calculated values
As for the theoretical density: 3.7 g/cm³. The energy above the most stable polymorph in this dataset is 0.00 eV/f.u.

=====

No. 25
DFT (SCAN) results for MgZn2Br at its PBEsol-relaxed geometry.

Cell and atoms, written as POSCAR:
```
MgZn2Br
1.0
-0.8306 1.3723 2.8752
-4.2494 -0.8137 -0.8392
0.4659 -5.0655 2.5523
Zn Mg Br
2 1 1
Direct
0.0000 0.0000 0.0000
0.5000 0.5000 0.0000
0.0000 0.5000 0.5000
0.5000 0.0000 0.5000
```

Calculated values
As for the theoretical density: 4.7 g/cm³. The energy above the most stable polymorph in this dataset is 0.14 eV/f.u.

=====

No. 26
DFT (SCAN) results for Mg2ZnBr at its PBEsol-relaxed geometry.

Cell and atoms, written as POSCAR:
```
Mg2ZnBr
1.0
-2.0862 -2.6722 -3.8777
3.0305 -2.5366 -3.3032
0.1300 -5.1488 0.0574
Mg Br Zn
2 1 1
Direct
0.7500 0.7500 0.7500
0.0000 0.0000 0.0000
0.5000 0.5000 0.5000
0.2500 0.2500 0.2500
```

Calculated values
As for the theoretical density: 3.3 g/cm³. The energy above the most stable polymorph in this dataset is 2.66 eV/f.u.

=====

No. 27
DFT (SCAN) results for MgZn2Br at its PBEsol-relaxed geometry.

Cell and atoms, written as POSCAR:
```
MgZn2Br
1.0
4.1927 0.0000 0.0000
0.0000 4.1927 0.0000
-2.0964 -2.0964 4.5706
Mg Br Zn
1 1 2
Direct
0.2500 0.7500 0.5000
0.5000 0.5000 0.0000
0.0000 0.0000 0.0000
0.7500 0.2500 0.5000
```

Calculated values
As for the theoretical density: 4.9 g/cm³. The energy above the most stable polymorph in this dataset is 0.56 eV/f.u.

=====

No. 28
DFT (SCAN) results for MgZnBr3 at its PBEsol-relaxed geometry.

Cell and atoms, written as POSCAR:
```
MgZnBr3
1.0
5.0666 0.0000 0.0000
0.0000 5.0666 0.0000
0.0000 0.0000 5.0666
Br Mg Zn
3 1 1
Direct
0.0000 0.5000 0.0000
0.0000 0.0000 0.5000
0.5000 0.0000 0.0000
0.5000 0.5000 0.5000
0.0000 0.0000 0.0000
```

Calculated values
As for the theoretical density: 4.2 g/cm³. Its electronic total energy is -15.9513 eV/atom.

=====

No. 29
DFT (SCAN) results for MgZnBr2 at its PBEsol-relaxed geometry.

Cell and atoms, written as POSCAR:
```
MgZnBr2
1.0
5.1060 0.0000 0.0000
2.5530 4.4219 0.0000
2.5530 1.4740 4.1690
Zn Mg Br
1 1 2
Direct
0.2500 0.2500 0.2500
0.5000 0.5000 0.5000
0.0000 0.0000 0.0000
0.7500 0.7500 0.7500
```

Calculated values
As for the theoretical density: 4.4 g/cm³. Its electronic total energy is -14.4491 eV/atom.

=====

No. 30
DFT (SCAN) results for MgZrZnBr2 at its PBEsol-relaxed geometry.

Cell and atoms, written as POSCAR:
```
MgZrZnBr2
1.0
5.1652 0.0000 0.0000
0.0000 5.1652 0.0000
0.0000 0.0000 5.5414
Br Mg Zr Zn
2 1 1 1
Direct
0.0000 0.5000 0.0000
0.5000 0.0000 0.0000
0.5000 0.5000 0.5000
0.0000 0.0000 0.0000
0.0000 0.0000 0.5000
```

Calculated values
As for the theoretical density: 3.8 g/cm³. Its electronic total energy is -17.7958 eV/atom.